# BaTh2Co GGA-PBE optimized geometry
# Energy of formation (eV/atom): 0.064
# E (Ry/atom): -0.434
data_BaTh2Co
_cell_length_a 3.9069
_cell_length_b 3.9069
_cell_length_c 31.9522
_cell_angle_alpha 90.00
_cell_angle_beta 90.00
_cell_angle_gamma 120.00
_symmetry_space_group_name_H-M 'R -3 m'
_symmetry_Int_Tables_number 166
_symmetry_space_group_name_Hall '-R 3 2"'
loop_
_atom_site_label
_atom_site_type_symbol
_atom_site_fract_x
_atom_site_fract_y
_atom_site_fract_z
_atom_site_occupancy
Ba1 Ba 0.0000 0.0000 0.0000 1
Th1 Th 0.0000 0.0000 0.1191 1
Co1 Co 0.0000 0.0000 0.5000 1

# PmNdPaN3 GGA-PBE optimized geometry
# E (Ry/atom): -0.640
data_PmNdPaN3
_cell_length_a 5.9824
_cell_length_b 3.5066
_cell_length_c 9.6133
_cell_angle_alpha 90.00
_cell_angle_beta 93.44
_cell_angle_gamma 90.00
_symmetry_space_group_name_H-M 'P 1 21/m 1'
_symmetry_Int_Tables_number 11
_symmetry_space_group_name_Hall '-P 2yb'
loop_
_atom_site_label
_atom_site_type_symbol
_atom_site_fract_x
_atom_site_fract_y
_atom_site_fract_z
_atom_site_occupancy
Pm1 Pm 0.2298 0.2500 0.2381 1
Nd1 Nd 0.3000 0.2500 0.8842 1
Pa1 Pa 0.2547 0.7500 0.5567 1
N1 N 0.0176 0.2500 0.6334 1
N2 N 0.2882 0.7500 0.0594 1
N3 N 0.4900 0.7500 0.3710 1

# Ac3Tl3Cd GGA-PBE optimized geometry
# Energy of formation (eV/atom): -0.196
# E (Ry/atom): -0.228
data_Ac3Tl3Cd
_cell_length_a 9.8944
_cell_length_b 9.8944
_cell_length_c 5.6575
_cell_angle_alpha 90.00
_cell_angle_beta 90.00
_cell_angle_gamma 120.00
_symmetry_space_group_name_H-M 'P 63/m'
_symmetry_Int_Tables_number 176
_symmetry_space_group_name_Hall '-P 6c'
loop_
_atom_site_label
_atom_site_type_symbol
_atom_site_fract_x
_atom_site_fract_y
_atom_site_fract_z
_atom_site_occupancy
Ac1 Ac 0.0938 0.6498 0.2500 1
Tl1 Tl 0.0464 0.8193 0.7500 1
Cd1 Cd 0.3333 0.6667 0.7500 1

# NaZnP3O9 GGA-PBE optimized geometry
# E (Ry/atom): -0.488
data_NaZnP3O9
_cell_length_a 14.7441
_cell_length_b 14.7441
_cell_length_c 14.7441
_cell_angle_alpha 90.00
_cell_angle_beta 90.00
_cell_angle_gamma 90.00
_symmetry_space_group_name_H-M 'I -4 3 d'
_symmetry_Int_Tables_number 220
_symmetry_space_group_name_Hall 'I -4bd 2c 3'
loop_
_atom_site_label
_atom_site_type_symbol
_atom_site_fract_x
_atom_site_fract_y
_atom_site_fract_z
_atom_site_occupancy
Na1 Na 0.1098 0.1098 0.1098 1
Zn1 Zn 0.0154 0.4846 0.5154 1
P1 P 0.0777 0.1359 0.3584 1
O1 O 0.0232 0.1106 0.6167 1
O2 O 0.0271 0.3482 0.3278 1
O3 O 0.0533 0.4178 0.0833 1

# Rb2CaTcF6 GGA-PBE optimized geometry
# E (Ry/atom): -0.378
data_Rb2CaTcF6
_cell_length_a 8.7984
_cell_length_b 8.7984
_cell_length_c 8.7984
_cell_angle_alpha 90.00
_cell_angle_beta 90.00
_cell_angle_gamma 90.00
_symmetry_space_group_name_H-M 'F m -3 m'
_symmetry_Int_Tables_number 225
_symmetry_space_group_name_Hall '-F 4 2 3'
loop_
_atom_site_label
_atom_site_type_symbol
_atom_site_fract_x
_atom_site_fract_y
_atom_site_fract_z
_atom_site_occupancy
Rb1 Rb 0.2500 0.2500 0.2500 1
Ca1 Ca 0.0000 0.0000 0.0000 1
Tc1 Tc 0.0000 0.0000 0.5000 1
F1 F 0.0000 0.0000 0.2550 1

# KNaIn2Pd GGA-PBE optimized geometry
# Energy of formation (eV/atom): -0.219
# E (Ry/atom): -0.208
data_KNaIn2Pd
_cell_length_a 5.2276
_cell_length_b 5.2276
_cell_length_c 5.6815
_cell_angle_alpha 90.00
_cell_angle_beta 90.00
_cell_angle_gamma 90.00
_symmetry_space_group_name_H-M 'P 4/m m m'
_symmetry_Int_Tables_number 123
_symmetry_space_group_name_Hall '-P 4 2'
loop_
_atom_site_label
_atom_site_type_symbol
_atom_site_fract_x
_atom_site_fract_y
_atom_site_fract_z
_atom_site_occupancy
K1 K 0.0000 0.0000 0.0000 1
Na1 Na 0.5000 0.5000 0.0000 1
In1 In 0.0000 0.5000 0.5000 1
Pd1 Pd 0.5000 0.5000 0.5000 1

# OsPtPb2 GGA-PBE optimized geometry
# Energy of formation (eV/atom): 0.680
# E (Ry/atom): -0.404
data_OsPtPb2
_cell_length_a 4.7105
_cell_length_b 3.3685
_cell_length_c 5.6173
_cell_angle_alpha 90.00
_cell_angle_beta 113.58
_cell_angle_gamma 90.00
_symmetry_space_group_name_H-M 'P 1 2/m 1'
_symmetry_Int_Tables_number 10
_symmetry_space_group_name_Hall '-P 2y'
loop_
_atom_site_label
_atom_site_type_symbol
_atom_site_fract_x
_atom_site_fract_y
_atom_site_fract_z
_atom_site_occupancy
Os1 Os 0.0000 0.0000 0.0000 1
Pt1 Pt 0.0000 0.5000 0.5000 1
Pb1 Pb 0.5000 0.0000 0.5000 1
Pb2 Pb 0.5000 0.5000 0.0000 1

# LaNdTmAg GGA-PBE optimized geometry
# Energy of formation (eV/atom): 0.040
# E (Ry/atom): -0.310
data_LaNdTmAg
_cell_length_a 7.7965
_cell_length_b 7.7965
_cell_length_c 7.7965
_cell_angle_alpha 90.00
_cell_angle_beta 90.00
_cell_angle_gamma 90.00
_symmetry_space_group_name_H-M 'F -4 3 m'
_symmetry_Int_Tables_number 216
_symmetry_space_group_name_Hall 'F -4 2 3'
loop_
_atom_site_label
_atom_site_type_symbol
_atom_site_fract_x
_atom_site_fract_y
_atom_site_fract_z
_atom_site_occupancy
La1 La 0.0000 0.0000 0.0000 1
Nd1 Nd 0.0000 0.0000 0.5000 1
Tm1 Tm 0.2500 0.2500 0.7500 1
Ag1 Ag 0.2500 0.2500 0.2500 1